Entry from the Alexandria database: a relaxed RbPaO3 crystal (PBEsol).

As for the total energy: -8.53 eV per atom. As for the formation energy (no corrections): -302.2 kJ per mole of atoms. The spin magnetization comes out at 0.00 μB per formula unit.

It has space group Pm-3m (No. 221), with a = 4.363 Å, b = 4.363 Å, c = 4.363 Å, α = 90.00°, β = 90.00° and γ = 90.00°. The inequivalent atoms are Rb at (0.000, 0.000, 0.000), Pa at (0.500, 0.500, 0.500) and O at (0.000, 0.500, 0.500).